# MgCuRu2Se

A relaxed MgCuRu2Se crystal (PBE, Alexandria).

The calculation puts the mass density at 6.20 Mg/m³. Its uncorrected formation energy is 1.087 eV/atom.

The structure belongs to space group P4/mmm (No. 123); the cell edges are 4.671, 4.671 and 4.531 Å and the angles 90.00°, 90.00° and 90.00°. The asymmetric unit holds Mg at (0.000, 0.000, 0.000), Cu at (0.500, 0.500, 0.500), Ru at (0.000, 0.500, 0.500) and Se at (0.500, 0.500, 0.000).

# LuGaSnPd

A relaxed LuGaSnPd crystal (PBE, Alexandria).

The calculation puts the mass density at 9.71 Mg/m³.

The structure belongs to space group F-43m (No. 216); the cell edges are 6.849, 6.849 and 6.849 Å and the angles 90.00°, 90.00° and 90.00°. The asymmetric unit holds Lu at (0.000, 0.000, 0.000), Ga at (0.250, 0.250, 0.750), Sn at (0.000, 0.000, 0.500) and Pd at (0.250, 0.250, 0.250).

# CdMo3P

A relaxed CdMo3P crystal (PBE, Alexandria).

The calculation puts the mass density at 6.25 Mg/m³. Its relative energy among the computed polymorphs is 2224 meV per atom.

The structure belongs to space group Pm-3m (No. 221); the cell edges are 4.857, 4.857 and 4.857 Å and the angles 90.00°, 90.00° and 90.00°. The asymmetric unit holds Cd at (0.000, 0.000, 0.000), Mo at (0.000, 0.000, 0.500) and P at (0.500, 0.500, 0.500).

no.,M_tot (μB/atom),final energy (eV/atom)
1,0.72,-4.4585
2,0.00,-4.7730
3,0.00,-5.0008